VASP calculation (GGA-PBE) on crystalline RbNa2TlCu at its relaxed geometry.

The structure belongs to space group P4/mmm (No. 123); the cell edges are 5.8172, 5.8172 and 5.1238 Å and the angles 90.00°, 90.00° and 90.00°. The inequivalent atoms are Rb at (0.0000, 0.0000, 0.0000), Na at (0.0000, 0.5000, 0.5000), Tl at (0.5000, 0.5000, 0.0000) and Cu at (0.5000, 0.5000, 0.5000).

For the total energy, the calculation gives -1.913 eV/atom. Its formation energy is 0.50 eV/f.u.

VASP calculation (GGA-PBE) on crystalline V5Se4 at its relaxed geometry.

The structure belongs to space group I4/m (No. 87); the cell edges are 9.3232, 9.3232 and 3.3334 Å and the angles 90.00°, 90.00° and 90.00°. The inequivalent atoms are V at (0.0000, 0.0000, 0.0000), V at (0.1189, 0.1927, 0.5000) and Se at (0.0626, 0.7227, 0.0000).

For the total energy, the calculation gives -7.233 eV/atom.